Below is an optimized crystal structure of VIO2F, with properties calculated at the PBE with a Hubbard U level.

Cell: 4.033 4.033 5.774 Å, 90.00 90.00 90.00°
Space group P4/mmm (No. 123)
Symmetry-distinct sites (fractional):
V 0.000 0.000 0.000 [1 per cell]
I 0.500 0.500 0.500 [1 per cell]
O 0.000 0.500 0.500 [2 per cell]
F 0.500 0.500 0.000 [1 per cell]

**Density**: 4.0 g cm⁻³
**Density of states at the Fermi level**: 0.746 states/eV per atom
**Final energy**: -4.25 eV/atom